Compound: NbBr3
Source: Alexandria
Functional: PBE-GGA
Structure: optimized geometry

ρ = 6.10 g/cm³
ΔE_f (raw) = 0.24 eV/atom
Density of states at the Fermi level = 0.4744 states/eV/atom

extended XYZ file:
```
4
Lattice="0.000 3.563 3.563 3.563 0.000 3.563 3.563 3.563 0.000" Properties=species:S:1:pos:R:3 pbc="T T T"
Nb 3.563 3.563 3.563
Br 1.782 1.782 1.782
Br 5.345 5.345 5.345
Br 0.000 0.000 0.000
```